Below is RePtCl3 after structural relaxation, with properties calculated at the PBE level.

Computed properties:
**Energy relative to the elements, uncorrected**: 93 kJ per mole of atoms
**Offset from the most stable computed form**: 37 kJ/mol of formula units

Geometry as POSCAR:
```
RePtCl3
1.0
-4.704 1.074 -1.064
-1.502 -2.926 3.688
0.171 3.834 3.112
Cl Pt Re
3 1 1
Direct
0.000 0.000 0.500
0.500 0.000 0.000
0.000 0.500 0.000
0.000 0.000 0.000
0.500 0.500 0.500
```

Below is Cs3MgP after structural relaxation, with properties calculated at the PBE level.

Computed properties:
**ΔH_f (0 K)**: 0.647 eV per atom

Geometry as POSCAR:
```
Cs3MgP
1.0
-0.267 0.349 7.069
-0.114 -7.074 0.345
7.077 -0.101 0.273
Cs Mg P
3 1 1
Direct
0.000 0.000 0.500
0.500 0.000 0.000
0.000 0.500 0.000
0.000 0.000 0.000
0.500 0.500 0.500
```

Below is BeCdBIrAu after structural relaxation, with properties calculated at the PBE level.

Computed properties:
**ΔH_f (0 K)**: -0.041 eV per atom
**Offset from the most stable computed form**: 41 kJ/mol of formula units

Geometry as POSCAR:
```
BeCdBIrAu
1.0
-2.037 2.894 -0.211
-1.323 -3.167 -0.887
-2.037 -0.962 6.475
Ir Au B Be Cd
1 1 1 1 1
Direct
0.333 0.667 0.705
0.667 0.333 0.418
0.000 0.000 0.765
0.667 0.333 0.871
0.333 0.667 0.138
```

In states/eV per atom, the DOS(E_F) values for the records above are, in order, 0.395 1.739 0.241.